[1]
# SiN2Cl, relaxed, DFT PBE
data_SiN2Cl
_space_group_name_H-M_alt 'I -4 2 d'
_space_group_IT_number 122
_space_group_name_Hall 'I -4 2bw'
_cell_length_a 5.290
_cell_length_b 5.290
_cell_length_c 8.329
_cell_angle_alpha 90.00
_cell_angle_beta 90.00
_cell_angle_gamma 90.00
loop_
_atom_site_label
_atom_site_type_symbol
_atom_site_fract_x
_atom_site_fract_y
_atom_site_fract_z
Si1 Si 0.000 0.000 0.000
N1 N 0.064 0.250 0.125
Cl1 Cl 0.000 0.000 0.500
# Formation energy (no corrections), eV/atom: 0.514
# Energy relative to the lowest polymorph listed for this composition, meV per atom: 274
# DOS at the Fermi energy, states/eV/f.u.: 1.261

[2]
# Si3NCl, relaxed, DFT PBE
data_Si3NCl
_space_group_name_H-M_alt 'P m -3 m'
_space_group_IT_number 221
_space_group_name_Hall '-P 4 2 3'
_cell_length_a 4.721
_cell_length_b 4.721
_cell_length_c 4.721
_cell_angle_alpha 90.00
_cell_angle_beta 90.00
_cell_angle_gamma 90.00
loop_
_atom_site_label
_atom_site_type_symbol
_atom_site_fract_x
_atom_site_fract_y
_atom_site_fract_z
Si1 Si 0.000 0.000 0.500
N1 N 0.500 0.500 0.500
Cl1 Cl 0.000 0.000 0.000
# Formation energy (no corrections), eV/atom: 2.262
# Energy relative to the lowest polymorph listed for this composition, meV per atom: 1209
# DOS at the Fermi energy, states/eV/f.u.: 3.081

[3]
# SiN2Cl, relaxed, DFT PBE
data_SiN2Cl
_space_group_name_H-M_alt 'R -3 m'
_space_group_IT_number 166
_space_group_name_Hall '-R 3 2"'
_cell_length_a 2.9059
_cell_length_b 2.9059
_cell_length_c 17.3848
_cell_angle_alpha 90.00
_cell_angle_beta 90.00
_cell_angle_gamma 120.00
loop_
_atom_site_label
_atom_site_type_symbol
_atom_site_fract_x
_atom_site_fract_y
_atom_site_fract_z
Si1 Si 0.0000 0.0000 0.0000
N1 N 0.0000 0.0000 0.3873
Cl1 Cl 0.0000 0.0000 0.5000
# Formation energy (no corrections), eV/atom: 0.239
# Energy relative to the lowest polymorph listed for this composition, meV per atom: 0
# DOS at the Fermi energy, states/eV/f.u.: 2.494

[4]
# SiNCl, relaxed, DFT PBE
data_SiNCl
_space_group_name_H-M_alt 'P -1'
_space_group_IT_number 2
_space_group_name_Hall '-P 1'
_cell_length_a 3.293
_cell_length_b 3.699
_cell_length_c 8.758
_cell_angle_alpha 90.26
_cell_angle_beta 90.12
_cell_angle_gamma 90.00
loop_
_atom_site_label
_atom_site_type_symbol
_atom_site_fract_x
_atom_site_fract_y
_atom_site_fract_z
Si1 Si 0.250 0.249 0.426
N1 N 0.250 0.750 0.481
Cl1 Cl 0.247 0.247 0.194
# Formation energy (no corrections), eV/atom: -0.916
# DOS at the Fermi energy, states/eV/f.u.: 0.000

[5]
# TiSi2NCl, relaxed, DFT PBE
data_TiSi2NCl
_space_group_name_H-M_alt 'P 4/m m m'
_space_group_IT_number 123
_space_group_name_Hall '-P 4 2'
_cell_length_a 5.021
_cell_length_b 5.021
_cell_length_c 3.854
_cell_angle_alpha 90.00
_cell_angle_beta 90.00
_cell_angle_gamma 90.00
loop_
_atom_site_label
_atom_site_type_symbol
_atom_site_fract_x
_atom_site_fract_y
_atom_site_fract_z
Ti1 Ti 0.000 0.000 0.000
Si1 Si 0.000 0.500 0.000
N1 N 0.000 0.000 0.500
Cl1 Cl 0.500 0.500 0.500
# Formation energy (no corrections), eV/atom: 0.480
# DOS at the Fermi energy, states/eV/f.u.: 4.259

[6]
# Sm2NCl, relaxed, DFT PBE
data_Sm2NCl
_space_group_name_H-M_alt 'R 3 m'
_space_group_IT_number 160
_space_group_name_Hall 'R 3 -2"'
_cell_length_a 3.6328
_cell_length_b 3.6328
_cell_length_c 20.9815
_cell_angle_alpha 90.00
_cell_angle_beta 90.00
_cell_angle_gamma 120.00
loop_
_atom_site_label
_atom_site_type_symbol
_atom_site_fract_x
_atom_site_fract_y
_atom_site_fract_z
Sm1 Sm 0.0000 0.0000 0.0000
Sm2 Sm 0.0000 0.0000 0.2080
N1 N 0.0000 0.0000 0.6004
Cl1 Cl 0.0000 0.0000 0.7708
# Formation energy (no corrections), eV/atom: -1.544
# DOS at the Fermi energy, states/eV/f.u.: 0.740

[7]
# SmNCl3, relaxed, DFT PBE
data_SmNCl3
_space_group_name_H-M_alt 'R -3 m'
_space_group_IT_number 166
_space_group_name_Hall '-R 3 2"'
_cell_length_a 7.3928
_cell_length_b 7.3928
_cell_length_c 21.0623
_cell_angle_alpha 90.00
_cell_angle_beta 90.00
_cell_angle_gamma 120.00
loop_
_atom_site_label
_atom_site_type_symbol
_atom_site_fract_x
_atom_site_fract_y
_atom_site_fract_z
Sm1 Sm 0.0000 0.0000 0.1665
N1 N 0.0000 0.0000 0.4085
Cl1 Cl 0.0004 0.5002 0.4197
# Formation energy (no corrections), eV/atom: -0.762
# DOS at the Fermi energy, states/eV/f.u.: 0.000

[8]
# SmN2Cl2, relaxed, DFT PBE
data_SmN2Cl2
_space_group_name_H-M_alt 'P -1'
_space_group_IT_number 2
_space_group_name_Hall '-P 1'
_cell_length_a 6.880
_cell_length_b 6.958
_cell_length_c 6.959
_cell_angle_alpha 63.85
_cell_angle_beta 86.28
_cell_angle_gamma 84.29
loop_
_atom_site_label
_atom_site_type_symbol
_atom_site_fract_x
_atom_site_fract_y
_atom_site_fract_z
Sm1 Sm 0.019 0.166 0.168
N1 N 0.208 0.881 0.056
N2 N 0.313 0.917 0.158
Cl1 Cl 0.194 0.136 0.526
Cl2 Cl 0.199 0.478 0.836
# Formation energy (no corrections), eV/atom: -1.258

[9]
# Sm3NCl3, relaxed, DFT PBE
data_Sm3NCl3
_space_group_name_H-M_alt 'R -3'
_space_group_IT_number 148
_space_group_name_Hall '-R 3'
_cell_length_a 6.5182
_cell_length_b 6.5182
_cell_length_c 30.1664
_cell_angle_alpha 90.00
_cell_angle_beta 90.00
_cell_angle_gamma 120.00
loop_
_atom_site_label
_atom_site_type_symbol
_atom_site_fract_x
_atom_site_fract_y
_atom_site_fract_z
Sm1 Sm 0.0000 0.3505 0.4543
N1 N 0.0000 0.0000 0.1667
Cl1 Cl 0.0000 0.3263 0.6048
# Formation energy (no corrections), eV/atom: -1.761
# DOS at the Fermi energy, states/eV/f.u.: 2.088

[10]
# Sm3N2Cl2, relaxed, DFT PBE
data_Sm3N2Cl2
_space_group_name_H-M_alt 'P -1'
_space_group_IT_number 2
_space_group_name_Hall '-P 1'
_cell_length_a 3.551
_cell_length_b 6.303
_cell_length_c 7.165
_cell_angle_alpha 80.70
_cell_angle_beta 89.97
_cell_angle_gamma 73.70
loop_
_atom_site_label
_atom_site_type_symbol
_atom_site_fract_x
_atom_site_fract_y
_atom_site_fract_z
Sm1 Sm 0.000 0.000 0.000
Sm2 Sm 0.228 0.544 0.793
N1 N 0.364 0.271 0.067
Cl1 Cl 0.123 0.753 0.379
# Formation energy (no corrections), eV/atom: -1.711
# DOS at the Fermi energy, states/eV/f.u.: 1.682

[11]
# Sm3N2Cl, relaxed, DFT PBE
data_Sm3N2Cl
_space_group_name_H-M_alt 'P 63/m m c'
_space_group_IT_number 194
_space_group_name_Hall '-P 6c 2c'
_cell_length_a 3.6392
_cell_length_b 3.6392
_cell_length_c 19.6575
_cell_angle_alpha 90.00
_cell_angle_beta 90.00
_cell_angle_gamma 120.00
loop_
_atom_site_label
_atom_site_type_symbol
_atom_site_fract_x
_atom_site_fract_y
_atom_site_fract_z
Sm1 Sm 0.0000 0.0000 0.0000
Sm2 Sm 0.3333 0.6667 0.1373
N1 N 0.3333 0.6667 0.5788
Cl1 Cl 0.0000 0.0000 0.2500
# Formation energy (no corrections), eV/atom: -1.543
# DOS at the Fermi energy, states/eV/f.u.: 1.822

[12]
# Sm6NCl12, relaxed, DFT PBE
data_Sm6NCl12
_space_group_name_H-M_alt 'R -3 m'
_space_group_IT_number 166
_space_group_name_Hall '-R 3 2"'
_cell_length_a 9.7403
_cell_length_b 9.7403
_cell_length_c 17.3271
_cell_angle_alpha 90.00
_cell_angle_beta 90.00
_cell_angle_gamma 120.00
loop_
_atom_site_label
_atom_site_type_symbol
_atom_site_fract_x
_atom_site_fract_y
_atom_site_fract_z
Sm1 Sm 0.0594 0.5297 0.2498
N1 N 0.0000 0.0000 0.5000
Cl1 Cl 0.0267 0.5133 0.9043
Cl2 Cl 0.0791 0.5396 0.5948
# Formation energy (no corrections), eV/atom: -1.887
# DOS at the Fermi energy, states/eV/f.u.: 2.997

Q: Which value of formation energy (no corrections) does entry 12 give?
A: -1.887 eV/atom